*1*
Density functional theory data (GGA-PBEsol) for an optimized crystal structure of ZrMnP2.

Results
* SG: No. 122

a b c (Å): 4.3969 4.3969 7.6099
angles (deg): 106.79 106.79 90.00
Site moments in Bohr magnetons follow the coordinates.
Fractional coordinates of all 8 atoms:
P 0.7565 0.3750 0.2500  -0.02
P 0.4935 0.8750 0.2500  -0.02
P 0.6250 0.5065 0.7500  -0.02
P 0.1250 0.2435 0.7500  -0.02
Mn 0.7500 0.2500 0.5000  0.64
Mn 0.5000 0.5000 0.0000  0.64
Zr 0.2500 0.7500 0.5000  0.03
Zr 0.0000 0.0000 0.0000  0.03


*2*
Density functional theory data (GGA-PBEsol) for an optimized crystal structure of ZrMnP2.

Results
* SG: No. 99

a b c (Å): 3.5569 3.5569 5.1509
angles (deg): 90.00 90.00 90.00
Site moments in Bohr magnetons follow the coordinates.
Fractional coordinates of all 4 atoms:
Mn 0.5000 0.5000 0.8277  3.36
P 0.0000 0.0000 0.9124  -0.03
P 0.5000 0.5000 0.3318  -0.02
Zr 0.0000 0.0000 0.4280  0.02


The structure with the most favorable energy is *2*; the runner-up is 0.381 eV/atom above it.


*1*
Density functional theory data (GGA-PBEsol) for an optimized crystal structure of Mn2SbPb.

Results
* SG: No. 65

a b c (Å): 3.2433 3.2433 7.4453
angles (deg): 90.00 90.00 99.37
Site moments in Bohr magnetons follow the coordinates.
Fractional coordinates of all 4 atoms:
Mn 0.0000 0.0000 0.2292  3.39
Mn 0.0000 0.0000 0.7708  3.39
Pb 0.5000 0.5000 0.5000  -0.06
Sb 0.5000 0.5000 0.0000  -0.08


*2*
Density functional theory data (GGA-PBEsol) for an optimized crystal structure of Mn2SbPb.

Results
* SG: No. 65

a b c (Å): 3.1648 4.9855 4.9855
angles (deg): 100.73 90.00 90.00
Site moments in Bohr magnetons follow the coordinates.
Fractional coordinates of all 4 atoms:
Mn 0.0000 0.5000 0.0000  3.47
Mn 0.0000 0.0000 0.5000  3.47
Pb 0.5000 0.0000 0.0000  -0.05
Sb 0.5000 0.5000 0.5000  -0.04


The structure with the most favorable energy is *1*; the runner-up is 0.033 eV/atom above it.